DFT (meta-GGA SCAN) results for a crystal of SbHPt2 relaxed with PBEsol.

Output
Total energy ... -44.8680 eV/atom

Cell and atoms, written as POSCAR:
```
SbHPt2
1.0
6.167 0.000 0.000
0.000 6.167 0.000
0.000 0.000 6.167
Sb H Pt
4 4 8
direct
0.000 0.000 0.000 Sb
0.000 0.500 0.500 Sb
0.500 0.000 0.500 Sb
0.500 0.500 0.000 Sb
0.000 0.000 0.500 H
0.000 0.500 0.000 H
0.500 0.000 0.000 H
0.500 0.500 0.500 H
0.250 0.250 0.250 Pt
0.250 0.250 0.750 Pt
0.250 0.750 0.250 Pt
0.250 0.750 0.750 Pt
0.750 0.250 0.250 Pt
0.750 0.250 0.750 Pt
0.750 0.750 0.250 Pt
0.750 0.750 0.750 Pt
```